Li2PmSc3S6, relaxed, DFT PBE; Fermi-level density of states = 2.950 states/eV/f.u.
1.0
-4.414 1.014 -4.620
-0.153 -5.451 3.481
-2.223 4.267 4.575
Li Pm Sc S
2 1 3 6
direct
0.332 0.668 0.000
0.668 0.332 0.000
0.000 0.000 0.000
0.166 0.834 0.500
0.834 0.166 0.500
0.500 0.500 0.500
0.913 0.569 0.738
0.744 0.744 0.263
0.087 0.431 0.262
0.569 0.913 0.738
0.256 0.256 0.737
0.431 0.087 0.262

---

LiPm2ScS4, relaxed, DFT PBE; Fermi-level density of states = 2.854 states/eV/f.u.
1.0
3.892 0.000 0.000
0.000 6.756 0.130
0.000 -2.349 6.239
Li Pm Sc S
1 2 1 4
direct
0.500 0.500 0.000
0.500 0.000 0.500
0.000 0.500 0.500
0.000 0.000 0.000
0.500 0.241 0.225
0.500 0.759 0.775
0.000 0.254 0.772
0.000 0.746 0.228

---

LiPmSc2S4, relaxed, DFT PBE; Fermi-level density of states = 2.853 states/eV/f.u.
1.0
3.778 0.000 0.000
0.000 6.530 0.117
0.000 -2.281 6.265
Li Pm Sc S
1 1 2 4
direct
0.500 0.500 0.000
0.000 0.000 0.000
0.500 0.000 0.500
0.000 0.500 0.500
0.500 0.267 0.268
0.500 0.733 0.732
0.000 0.253 0.735
0.000 0.747 0.265

---

LiPm2ScS5: relaxed, PBE.

Geometry as POSCAR:
```
LiPm2ScS5
1.0
3.908 0.000 0.000
-1.954 8.105 0.000
0.000 0.000 11.655
Li Pm Sc S
2 4 2 10
direct
0.538 0.077 0.968
0.462 0.923 0.468
0.871 0.742 0.801
0.106 0.211 0.685
0.129 0.258 0.301
0.894 0.789 0.185
0.800 0.601 0.508
0.200 0.399 0.008
0.361 0.721 0.999
0.690 0.380 0.857
0.497 0.994 0.779
0.282 0.565 0.660
0.946 0.891 0.567
0.639 0.279 0.499
0.310 0.620 0.357
0.503 0.006 0.279
0.718 0.435 0.160
0.054 0.109 0.067
```

---

Li3PmSc2S6, relaxed, DFT PBE; Fermi-level density of states = 0.000 states/eV/f.u.
1.0
-4.244 2.672 -4.302
-2.070 -4.605 4.262
0.737 5.021 4.079
Li Pm Sc S
3 1 2 6
direct
0.170 0.830 0.500
0.830 0.170 0.500
0.500 0.500 0.500
0.000 0.000 0.000
0.333 0.667 0.000
0.667 0.333 0.000
0.919 0.565 0.756
0.729 0.729 0.247
0.081 0.435 0.244
0.565 0.919 0.756
0.271 0.271 0.753
0.435 0.081 0.244

---

Li2PmSiS4, relaxed, DFT PBE; Fermi-level density of states = 1.361 states/eV/f.u.
1.0
-6.603 -3.378 -1.602
2.307 -0.989 -7.161
4.395 -2.386 6.019
Li Pm Si S
4 2 2 8
direct
0.500 0.000 0.000
0.500 0.000 0.500
0.000 0.000 0.500
0.500 0.500 0.000
0.000 0.500 0.000
0.000 0.500 0.500
0.500 0.500 0.500
0.000 0.000 0.000
0.247 0.782 0.014
0.718 0.253 0.486
0.282 0.747 0.514
0.753 0.218 0.986
0.743 0.756 0.970
0.744 0.757 0.530
0.256 0.243 0.470
0.257 0.244 0.030

---

LiPmSi2S6, relaxed, DFT PBE; Fermi-level density of states = 0.000 states/eV/f.u.
1.0
-1.281 -0.590 -6.110
-8.563 -0.995 0.422
-1.313 8.294 -1.995
Li Pm Si S
2 2 4 12
direct
0.250 0.323 0.677
0.750 0.677 0.323
0.250 0.878 0.122
0.750 0.122 0.878
0.233 0.783 0.625
0.267 0.375 0.217
0.767 0.217 0.375
0.733 0.625 0.783
0.180 0.964 0.796
0.320 0.204 0.036
0.820 0.036 0.204
0.680 0.796 0.964
0.393 0.855 0.408
0.107 0.592 0.145
0.607 0.145 0.592
0.893 0.408 0.855
0.933 0.710 0.577
0.567 0.423 0.290
0.067 0.290 0.423
0.433 0.577 0.710

---

LiPm3Sm4S8, relaxed, DFT PBE; Fermi-level density of states = 8.739 states/eV/f.u.
1.0
8.005 0.000 0.000
0.000 8.002 -0.007
-4.002 -3.998 5.663
Li Pm Sm S
1 3 4 8
direct
0.000 0.500 0.000
0.500 0.500 0.000
0.500 0.500 0.500
0.000 0.500 0.500
0.500 0.000 0.000
0.500 0.000 0.500
0.000 0.000 0.000
0.000 0.000 0.500
0.245 0.746 0.001
0.245 0.746 0.489
0.249 0.248 0.499
0.757 0.746 0.001
0.243 0.254 0.999
0.751 0.752 0.501
0.755 0.254 0.511
0.755 0.254 0.999

---

LiPm4Sm3S8, relaxed, DFT PBE; Fermi-level density of states = 8.656 states/eV/f.u.
1.0
8.003 0.000 0.000
0.000 8.008 -0.002
-4.002 -3.998 5.662
Li Pm Sm S
1 4 3 8
direct
0.000 0.500 0.000
0.500 0.000 0.000
0.500 0.000 0.500
0.000 0.000 0.000
0.000 0.000 0.500
0.500 0.500 0.000
0.500 0.500 0.500
0.000 0.500 0.500
0.244 0.742 0.999
0.244 0.742 0.487
0.251 0.252 0.502
0.755 0.742 0.999
0.245 0.258 0.001
0.749 0.748 0.498
0.756 0.258 0.513
0.756 0.258 0.001

---

LiPm3Sm3S8, relaxed, DFT PBE; Fermi-level density of states = 4.780 states/eV/f.u.
1.0
7.980 0.000 0.000
-3.990 6.912 -0.024
0.000 -4.585 6.539
Li Pm Sm S
1 3 3 8
direct
0.000 0.000 0.500
0.000 0.000 0.000
0.000 0.500 0.000
0.500 0.500 0.000
0.500 0.000 0.500
0.500 0.500 0.500
0.000 0.500 0.500
0.251 0.501 0.252
0.749 0.499 0.748
0.757 0.513 0.258
0.243 0.487 0.742
0.757 0.001 0.258
0.243 0.999 0.742
0.245 0.001 0.258
0.755 0.999 0.742

---

Number 1: uncorrected formation energy -1834 meV per atom. Number 2: uncorrected formation energy -1880 meV per atom. Number 3: uncorrected formation energy -1860 meV per atom. Number 4: uncorrected formation energy -1881 meV per atom. Number 5: uncorrected formation energy -1766 meV per atom. Number 6: uncorrected formation energy -1154 meV per atom. Number 7: uncorrected formation energy -1055 meV per atom. Number 8: uncorrected formation energy -1974 meV per atom. Number 9: uncorrected formation energy -1975 meV per atom. Number 10: uncorrected formation energy -1990 meV per atom.